A plane-wave DFT calculation with PBE was carried out for crystalline ZnGa2S4 at its relaxed geometry.

Calculated values
The calculation puts the electronic total energy at -3.999 eV/atom. As for the space-group type: No. 186. For the size of the total moment, the calculation gives 0.00 μB/f.u. As for the energy relative to the elements, uncorrected: -401 kJ/mol of formula units.

Lattice parameters (Å, degrees): 3.726 3.726 24.572 90.00 90.00 120.00
Atoms (fractional coordinates):
Zn1 0.000 0.000 0.093
Zn2 0.000 0.000 0.593
Ga1 0.667 0.333 0.248
Ga2 0.333 0.667 0.748
Ga3 0.333 0.667 0.399
Ga4 0.667 0.333 0.899
S1 0.000 0.000 0.438
S2 0.000 0.000 0.938
S3 0.333 0.667 0.306
S4 0.667 0.333 0.806
S5 0.000 0.000 0.200
S6 0.000 0.000 0.700
S7 0.667 0.333 0.066
S8 0.333 0.667 0.566

---

A plane-wave DFT calculation with PBE was carried out for crystalline ZnGaS2 at its relaxed geometry.

Calculated values
The calculation puts the electronic total energy at -3.398 eV/atom. As for the space-group type: No. 166. For the size of the total moment, the calculation gives 0.00 μB/f.u. As for the energy relative to the elements, uncorrected: -100 kJ/mol of formula units.

Lattice parameters (Å, degrees): 7.409 7.409 7.409 29.20 29.20 29.20
Atoms (fractional coordinates):
Zn1 0.000 0.000 0.000
S1 0.897 0.897 0.897
S2 0.103 0.103 0.103
Ga1 0.500 0.500 0.500